# 1
# GaFeCo2Tc PBE relaxed
# energy of formation from the pure elements = 131.3 kJ/mol of atoms
# mass density = 6.72 g cm⁻³
# D(E_F) = 1.700 states/eV/atom
data_GaFeCo2Tc
_chemical_formula_sum 'Ga1 Fe1 Co2 Tc1'
_cell_length_a 4.4041
_cell_length_b 4.4041
_cell_length_c 4.3514
_cell_angle_alpha 90.00
_cell_angle_beta 90.00
_cell_angle_gamma 90.00
_symmetry_space_group_name_H-M 'P 4/m m m'
_symmetry_Int_Tables_number 123
_symmetry_space_group_name_Hall '-P 4 2'
loop_
_atom_site_label
_atom_site_type_symbol
_atom_site_fract_x
_atom_site_fract_y
_atom_site_fract_z
_atom_site_occupancy
Ga1 Ga 0.0000 0.0000 0.0000 1
Fe1 Fe 0.5000 0.5000 0.0000 1
Co1 Co 0.0000 0.5000 0.5000 1
Tc1 Tc 0.5000 0.5000 0.5000 1

***

# 2
# Pm7PrAg2 PBE relaxed
# energy of formation from the pure elements = 30.0 kJ/mol of atoms
# mass density = 6.01 g cm⁻³
# D(E_F) = 1.786 states/eV/atom
data_Pm7PrAg2
_chemical_formula_sum 'Pm14 Pr2 Ag4'
_cell_length_a 9.1785
_cell_length_b 14.9843
_cell_length_c 5.5119
_cell_angle_alpha 90.00
_cell_angle_beta 90.00
_cell_angle_gamma 90.00
_symmetry_space_group_name_H-M 'C m m m'
_symmetry_Int_Tables_number 65
_symmetry_space_group_name_Hall '-C 2 2'
loop_
_atom_site_label
_atom_site_type_symbol
_atom_site_fract_x
_atom_site_fract_y
_atom_site_fract_z
_atom_site_occupancy
Pm1 Pm 0.0000 0.0000 0.0000 1
Pm2 Pm 0.0000 0.2416 0.5000 1
Pm3 Pm 0.1830 0.3753 0.0000 1
Pr1 Pr 0.0000 0.5000 0.5000 1
Ag1 Ag 0.0000 0.1955 0.0000 1

***

# 3
# Th2Pa2Si4Ni PBE relaxed
# mass density = 9.52 g cm⁻³
# D(E_F) = 1.176 states/eV/atom
# raw formation energy = -0.311 eV/atom
data_Th2Pa2Si4Ni
_chemical_formula_sum 'Th4 Pa4 Si8 Ni2'
_cell_length_a 6.8627
_cell_length_b 6.8627
_cell_length_c 8.1231
_cell_angle_alpha 90.00
_cell_angle_beta 90.00
_cell_angle_gamma 90.00
_symmetry_space_group_name_H-M 'I 4/m m m'
_symmetry_Int_Tables_number 139
_symmetry_space_group_name_Hall '-I 4 2'
loop_
_atom_site_label
_atom_site_type_symbol
_atom_site_fract_x
_atom_site_fract_y
_atom_site_fract_z
_atom_site_occupancy
Th1 Th 0.0000 0.5000 0.2500 1
Pa1 Pa 0.0000 0.0000 0.1669 1
Si1 Si 0.2348 0.2348 0.5000 1
Ni1 Ni 0.0000 0.0000 0.5000 1

***

# 4
# Sm2InSi4Pt3 PBE relaxed
# mass density = 9.97 g cm⁻³
# D(E_F) = 0.311 states/eV/atom
# raw formation energy = -0.918 eV/atom
data_Sm2InSi4Pt3
_chemical_formula_sum 'Sm2 In1 Si4 Pt3'
_cell_length_a 4.2451
_cell_length_b 4.2451
_cell_length_c 10.2920
_cell_angle_alpha 90.00
_cell_angle_beta 90.00
_cell_angle_gamma 90.00
_symmetry_space_group_name_H-M 'P -4 m 2'
_symmetry_Int_Tables_number 115
loop_
_symmetry_equiv_pos_as_xyz
'x,y,z'
'y,-x,-z'
'-x,-y,z'
'-y,x,-z'
'-x,y,z'
'-y,-x,-z'
'x,-y,z'
'y,x,-z'
loop_
_atom_site_label
_atom_site_type_symbol
_atom_site_fract_x
_atom_site_fract_y
_atom_site_fract_z
_atom_site_occupancy
Sm1 Sm 0.0000 0.5000 0.2382 1
In1 In 0.0000 0.0000 0.5000 1
Si1 Si 0.0000 0.0000 0.0000 1
Si2 Si 0.0000 0.5000 0.6524 1
Si3 Si 0.5000 0.5000 0.0000 1
Pt1 Pt 0.0000 0.5000 0.8840 1
Pt2 Pt 0.5000 0.5000 0.5000 1

***

# 5
# Li3CaAs3 PBE relaxed
# energy of formation from the pure elements = -16.5 kJ/mol of atoms
# mass density = 3.08 g cm⁻³
# D(E_F) = 0.858 states/eV/atom
data_Li3CaAs3
_chemical_formula_sum 'Li6 Ca2 As6'
_cell_length_a 6.7544
_cell_length_b 6.7544
_cell_length_c 6.7544
_cell_angle_alpha 90.00
_cell_angle_beta 90.00
_cell_angle_gamma 90.00
_symmetry_space_group_name_H-M 'P m -3 n'
_symmetry_Int_Tables_number 223
_symmetry_space_group_name_Hall '-P 4n 2 3'
loop_
_atom_site_label
_atom_site_type_symbol
_atom_site_fract_x
_atom_site_fract_y
_atom_site_fract_z
_atom_site_occupancy
Li1 Li 0.0000 0.2500 0.5000 1
Ca1 Ca 0.0000 0.0000 0.0000 1
As1 As 0.0000 0.5000 0.2500 1

***

# 6
# K2Ge2Ru PBE relaxed
# energy of formation from the pure elements = 13.2 kJ/mol of atoms
# mass density = 4.02 g cm⁻³
# D(E_F) = 0.692 states/eV/atom
data_K2Ge2Ru
_chemical_formula_sum 'K4 Ge4 Ru2'
_cell_length_a 6.7209
_cell_length_b 6.7209
_cell_length_c 5.9401
_cell_angle_alpha 90.00
_cell_angle_beta 90.00
_cell_angle_gamma 90.00
_symmetry_space_group_name_H-M 'P 4/m b m'
_symmetry_Int_Tables_number 127
_symmetry_space_group_name_Hall '-P 4 2ab'
loop_
_atom_site_label
_atom_site_type_symbol
_atom_site_fract_x
_atom_site_fract_y
_atom_site_fract_z
_atom_site_occupancy
K1 K 0.1691 0.3309 0.0000 1
Ge1 Ge 0.2007 0.7007 0.5000 1
Ru1 Ru 0.0000 0.0000 0.5000 1

***

# 7
# TbPr3Hg3 PBE relaxed
# energy of formation from the pure elements = -26.6 kJ/mol of atoms
# mass density = 9.04 g cm⁻³
# D(E_F) = 0.823 states/eV/atom
data_TbPr3Hg3
_chemical_formula_sum 'Tb4 Pr12 Hg12'
_cell_length_a 9.3540
_cell_length_b 11.7762
_cell_length_c 7.9708
_cell_angle_alpha 90.00
_cell_angle_beta 98.16
_cell_angle_gamma 90.00
_symmetry_space_group_name_H-M 'C 1 2/m 1'
_symmetry_Int_Tables_number 12
loop_
_symmetry_equiv_pos_as_xyz
'x,y,z'
'-x,-y,-z'
'-x,y,-z'
'x,-y,z'
'x+1/2,y+1/2,z'
'-x+1/2,-y+1/2,-z'
'-x+1/2,y+1/2,-z'
'x+1/2,-y+1/2,z'
loop_
_atom_site_label
_atom_site_type_symbol
_atom_site_fract_x
_atom_site_fract_y
_atom_site_fract_z
_atom_site_occupancy
Tb1 Tb 0.2074 0.0000 0.4473 1
Pr1 Pr 0.0000 0.2509 0.5000 1
Pr2 Pr 0.0000 0.3271 0.0000 1
Pr3 Pr 0.1526 0.0000 0.8915 1
Hg1 Hg 0.0018 0.5000 0.3019 1
Hg2 Hg 0.2331 0.1930 0.2124 1

***

# 8
# Ce4B3SbRh12 PBE relaxed
# mass density = 9.58 g cm⁻³
# D(E_F) = 1.071 states/eV/atom
# raw formation energy = -0.573 eV/atom
data_Ce4B3SbRh12
_chemical_formula_sum 'Ce8 B6 Sb2 Rh24'
_cell_length_a 8.7770
_cell_length_b 8.7770
_cell_length_c 8.7770
_cell_angle_alpha 90.00
_cell_angle_beta 90.00
_cell_angle_gamma 90.00
_symmetry_space_group_name_H-M 'I m -3 m'
_symmetry_Int_Tables_number 229
_symmetry_space_group_name_Hall '-I 4 2 3'
loop_
_atom_site_label
_atom_site_type_symbol
_atom_site_fract_x
_atom_site_fract_y
_atom_site_fract_z
_atom_site_occupancy
Ce1 Ce 0.2500 0.2500 0.2500 1
B1 B 0.0000 0.0000 0.5000 1
Sb1 Sb 0.0000 0.0000 0.0000 1
Rh1 Rh 0.0000 0.0000 0.2787 1
Rh2 Rh 0.0000 0.2500 0.5000 1

***

# 9
# Ac12ZnCo6 PBE relaxed
# energy of formation from the pure elements = -3.8 kJ/mol of atoms
# mass density = 8.79 g cm⁻³
# D(E_F) = 0.988 states/eV/atom
data_Ac12ZnCo6
_chemical_formula_sum 'Ac24 Zn2 Co12'
_cell_length_a 10.5888
_cell_length_b 10.5888
_cell_length_c 10.5888
_cell_angle_alpha 90.00
_cell_angle_beta 90.00
_cell_angle_gamma 90.00
_symmetry_space_group_name_H-M 'I m -3'
_symmetry_Int_Tables_number 204
_symmetry_space_group_name_Hall '-I 2 2 3'
loop_
_atom_site_label
_atom_site_type_symbol
_atom_site_fract_x
_atom_site_fract_y
_atom_site_fract_z
_atom_site_occupancy
Ac1 Ac 0.0000 0.1883 0.3111 1
Zn1 Zn 0.0000 0.0000 0.0000 1
Co1 Co 0.0000 0.3913 0.5000 1

***

# 10
# CuSi2WI PBE relaxed
# mass density = 5.13 g cm⁻³
# D(E_F) = 0.769 states/eV/atom
# raw formation energy = 2.482 eV/atom
data_CuSi2WI
_chemical_formula_sum 'Cu1 Si2 W1 I1'
_cell_length_a 5.2462
_cell_length_b 5.2462
_cell_length_c 5.0594
_cell_angle_alpha 90.00
_cell_angle_beta 90.00
_cell_angle_gamma 90.00
_symmetry_space_group_name_H-M 'P 4/m m m'
_symmetry_Int_Tables_number 123
_symmetry_space_group_name_Hall '-P 4 2'
loop_
_atom_site_label
_atom_site_type_symbol
_atom_site_fract_x
_atom_site_fract_y
_atom_site_fract_z
_atom_site_occupancy
Cu1 Cu 0.0000 0.0000 0.0000 1
Si1 Si 0.0000 0.5000 0.5000 1
W1 W 0.5000 0.5000 0.0000 1
I1 I 0.5000 0.5000 0.5000 1

***

# 11
# Tb6Sm2Mg PBE relaxed
# relative energy among the computed polymorphs = 0.030 eV/atom
# energy of formation from the pure elements = 4.8 kJ/mol of atoms
# mass density = 7.38 g cm⁻³
# D(E_F) = 1.492 states/eV/atom
data_Tb6Sm2Mg
_chemical_formula_sum 'Tb12 Sm4 Mg2'
_cell_length_a 6.5083
_cell_length_b 15.8778
_cell_length_c 5.5662
_cell_angle_alpha 90.00
_cell_angle_beta 90.00
_cell_angle_gamma 90.00
_symmetry_space_group_name_H-M 'P b a m'
_symmetry_Int_Tables_number 55
loop_
_symmetry_equiv_pos_as_xyz
'x,y,z'
'-x,-y,-z'
'-x,-y,z'
'x,y,-z'
'x+1/2,-y+1/2,-z'
'-x+1/2,y+1/2,z'
'-x+1/2,y+1/2,-z'
'x+1/2,-y+1/2,z'
loop_
_atom_site_label
_atom_site_type_symbol
_atom_site_fract_x
_atom_site_fract_y
_atom_site_fract_z
_atom_site_occupancy
Tb1 Tb 0.0795 0.0947 0.0000 1
Tb2 Tb 0.0887 0.3071 0.0000 1
Tb3 Tb 0.2477 0.9449 0.5000 1
Sm1 Sm 0.2286 0.6937 0.5000 1
Mg1 Mg 0.0000 0.5000 0.0000 1

***

# 12
# Rb4Ce3PmTe8 PBE relaxed
# mass density = 4.95 g cm⁻³
# D(E_F) = 1.220 states/eV/atom
# raw formation energy = -1.355 eV/atom
data_Rb4Ce3PmTe8
_chemical_formula_sum 'Rb12 Ce9 Pm3 Te24'
_cell_length_a 9.3542
_cell_length_b 9.3542
_cell_length_c 25.6111
_cell_angle_alpha 90.00
_cell_angle_beta 90.00
_cell_angle_gamma 120.00
_symmetry_space_group_name_H-M 'R -3 m'
_symmetry_Int_Tables_number 166
_symmetry_space_group_name_Hall '-R 3 2"'
loop_
_atom_site_label
_atom_site_type_symbol
_atom_site_fract_x
_atom_site_fract_y
_atom_site_fract_z
_atom_site_occupancy
Rb1 Rb 0.0000 0.0000 0.0000 1
Rb2 Rb 0.0000 0.5000 0.0000 1
Ce1 Ce 0.0000 0.5000 0.5000 1
Pm1 Pm 0.0000 0.0000 0.5000 1
Te1 Te 0.0000 0.0000 0.2348 1
Te2 Te 0.0024 0.5012 0.2346 1

***

# 13
# AlSi2Ge PBE relaxed
# relative energy among the computed polymorphs = 0.000 eV/atom
# mass density = 2.84 g cm⁻³
# D(E_F) = 0.573 states/eV/atom
# raw formation energy = 0.220 eV/atom
data_AlSi2Ge
_chemical_formula_sum 'Al4 Si8 Ge4'
_cell_length_a 5.7322
_cell_length_b 5.7322
_cell_length_c 11.0962
_cell_angle_alpha 90.00
_cell_angle_beta 90.00
_cell_angle_gamma 90.00
_symmetry_space_group_name_H-M 'I -4 2 d'
_symmetry_Int_Tables_number 122
_symmetry_space_group_name_Hall 'I -4 2bw'
loop_
_atom_site_label
_atom_site_type_symbol
_atom_site_fract_x
_atom_site_fract_y
_atom_site_fract_z
_atom_site_occupancy
Al1 Al 0.0000 0.0000 0.0000 1
Si1 Si 0.2413 0.2500 0.6250 1
Ge1 Ge 0.0000 0.0000 0.5000 1

***

# 14
# Sc2SbTe PBE relaxed
# relative energy among the computed polymorphs = 0.294 eV/atom
# mass density = 5.80 g cm⁻³
# D(E_F) = 0.834 states/eV/atom
# raw formation energy = -0.763 eV/atom
data_Sc2SbTe
_chemical_formula_sum 'Sc4 Sb2 Te2'
_cell_length_a 4.5338
_cell_length_b 5.6568
_cell_length_c 7.5805
_cell_angle_alpha 90.00
_cell_angle_beta 90.00
_cell_angle_gamma 90.00
_symmetry_space_group_name_H-M 'I m m m'
_symmetry_Int_Tables_number 71
_symmetry_space_group_name_Hall '-I 2 2'
loop_
_atom_site_label
_atom_site_type_symbol
_atom_site_fract_x
_atom_site_fract_y
_atom_site_fract_z
_atom_site_occupancy
Sc1 Sc 0.0000 0.0000 0.2492 1
Sb1 Sb 0.0000 0.5000 0.5000 1
Te1 Te 0.0000 0.5000 0.0000 1

***

# 15
# Nd4CoTeBr2 PBE relaxed
# mass density = 6.33 g cm⁻³
# D(E_F) = 0.715 states/eV/atom
# raw formation energy = -0.990 eV/atom
data_Nd4CoTeBr2
_chemical_formula_sum 'Nd4 Co1 Te1 Br2'
_cell_length_a 7.8171
_cell_length_b 4.0967
_cell_length_c 7.9364
_cell_angle_alpha 90.00
_cell_angle_beta 107.54
_cell_angle_gamma 90.00
_symmetry_space_group_name_H-M 'P 1 2/m 1'
_symmetry_Int_Tables_number 10
loop_
_symmetry_equiv_pos_as_xyz
'x,y,z'
'-x,-y,-z'
'-x,y,-z'
'x,-y,z'
loop_
_atom_site_label
_atom_site_type_symbol
_atom_site_fract_x
_atom_site_fract_y
_atom_site_fract_z
_atom_site_occupancy
Nd1 Nd 0.1956 0.0000 0.1972 1
Nd2 Nd 0.2178 0.5000 0.7822 1
Co1 Co 0.0000 0.5000 0.0000 1
Te1 Te 0.0000 0.0000 0.5000 1
Br1 Br 0.5000 0.0000 0.0000 1
Br2 Br 0.5000 0.5000 0.5000 1